## NdLuGe2Au2 (PBE)

Data for a geometry-optimized NdLuGe2Au2 structure.

Energy in eV per atom: -4.994

Lattice parameters (Å, degrees): 4.4829 4.4829 7.4217 90.00 90.00 120.00
Last column: nearest neighbours and their distance in Å.
Space group P3m1 (No. 156)
Symmetry-distinct sites (fractional):
Nd1 0.0000 0.0000 0.0000 (multiplicity 1)  6 Ge 3.05-3.41, 3 Au 3.16
Lu1 0.0000 0.0000 0.4967 (multiplicity 1)  6 Au 2.94-3.22, 3 Ge 3.00
Ge1 0.3333 0.6667 0.7009 (multiplicity 1)  4 Au 2.62-2.91
Ge2 0.6667 0.3333 0.2166 (multiplicity 1)  3 Au 2.68
Au1 0.3333 0.6667 0.3083 (multiplicity 1)  4 Ge 2.68-2.91, 3 Lu 2.94
Au2 0.6667 0.3333 0.7550 (multiplicity 1)  3 Ge 2.62